No. 1
This record from Alexandria via LeMat-Bulk describes a geometry-optimized AcTbSc2 structure. The functional is GGA-PBE.

extended XYZ file:
```
4
Lattice="4.412 0.000 0.000 0.000 5.261 0.000 0.000 0.000 5.261" Properties=species:S:1:pos:R:3 pbc="T T T"
Sc 0.000 0.000 2.631
Sc 0.000 2.631 0.000
Ac 2.206 0.000 0.000
Tb 2.206 2.631 2.631
```

ΔE_f: 9.5 kJ/mol of atoms
distance to the lowest polymorph of the same formula: 8.4 meV/atom
SG: P4/mmm (123)
crystal system: tetragonal

No. 2
This record from Alexandria via LeMat-Bulk describes a geometry-optimized SiSF structure. The functional is GGA-PBE.

extended XYZ file:
```
9
Lattice="-0.074 -1.260 6.241 2.937 -3.974 -4.016 5.525 3.337 0.740" Properties=species:S:1:pos:R:3 pbc="T T T"
S 1.082 -0.983 1.406
S 4.176 -2.258 3.073
S 4.524 0.970 4.924
F 1.378 -0.455 4.422
F 3.843 0.338 1.455
F 6.771 -0.819 3.821
Si 5.261 -0.965 4.405
Si 0.209 -0.799 3.346
Si 3.223 -1.164 1.506
```

SG: P3_2 (145)
crystal system: trigonal
uncorrected formation energy: -1.159 eV/atom

No. 3
This record from Alexandria via LeMat-Bulk describes a geometry-optimized BaPdAu3 structure. The functional is GGA-PBE.

extended XYZ file:
```
5
Lattice="5.174 0.000 0.000 0.000 5.174 0.000 0.000 0.000 5.174" Properties=species:S:1:pos:R:3 pbc="T T T"
Au 0.000 0.000 2.587
Au 2.587 0.000 0.000
Au 0.000 2.587 0.000
Pd 0.000 0.000 0.000
Ba 2.587 2.587 2.587
```

ΔE_f: -28.7 kJ/mol of atoms
distance to the lowest polymorph of the same formula: 162.9 meV/atom
SG: Pm-3m (221)
crystal system: cubic

No. 4
This record from Alexandria via LeMat-Bulk describes a geometry-optimized Li5In4 structure. The functional is GGA-PBE.

extended XYZ file:
```
18
Lattice="-1.041 -7.376 3.875 7.392 1.896 -3.501 1.794 2.427 5.102" Properties=species:S:1:pos:R:3 pbc="T T T"
Li 0.625 -3.279 6.506
Li 0.127 -1.669 2.471
Li 1.770 -4.285 1.416
Li 4.840 -3.182 1.534
Li 5.478 0.019 1.509
Li 4.581 -1.194 -1.042
Li 6.457 3.132 1.406
Li 2.729 1.192 0.195
Li 2.667 -3.071 3.968
Li 3.305 0.130 3.942
In 2.754 -1.382 1.411
In -0.215 -4.091 3.744
In 4.029 2.509 2.556
In 5.391 -1.670 4.065
In 0.000 0.000 0.000
In 0.967 -0.857 5.233
In 0.897 1.214 2.551
In 5.157 1.815 -0.954
```

ΔE_f: -21.3 kJ/mol of atoms
distance to the lowest polymorph of the same formula: 63.8 meV/atom
SG: P6_3/mcm (193)
crystal system: hexagonal

No. 5
This record from Alexandria via LeMat-Bulk describes a geometry-optimized Pr3Sm2Er7 structure. The functional is GGA-PBE.

extended XYZ file:
```
12
Lattice="3.538 0.000 0.000 0.000 6.315 0.734 0.000 2.386 17.863" Properties=species:S:1:pos:R:3 pbc="T T T"
Er 1.769 2.752 9.104
Er 1.769 5.949 9.493
Er 0.000 0.000 0.000
Er 0.000 3.961 3.346
Er 1.769 0.769 2.983
Er 0.000 4.739 15.252
Er 1.769 7.932 15.614
Pr 0.000 1.534 6.170
Pr 0.000 7.167 12.427
Pr 1.769 3.158 0.367
Sm 1.769 4.694 6.274
Sm 1.769 4.007 12.323
```

ΔE_f: 8.8 kJ/mol of atoms
distance to the lowest polymorph of the same formula: 3.7 meV/atom
SG: P2/m (10)
crystal system: monoclinic

No. 6
This record from Alexandria via LeMat-Bulk describes a geometry-optimized Li5TbCd4 structure. The functional is GGA-PBE.

extended XYZ file:
```
10
Lattice="3.435 0.000 0.000 0.000 3.435 0.000 0.000 0.000 16.801" Properties=species:S:1:pos:R:3 pbc="T T T"
Li 1.717 1.717 14.599
Li 1.717 1.717 2.202
Li 1.717 1.717 8.400
Li 1.717 1.717 11.573
Li 1.717 1.717 5.228
Cd 0.000 0.000 10.006
Cd 0.000 0.000 3.574
Cd 0.000 0.000 13.227
Cd 0.000 0.000 6.795
Tb 0.000 0.000 0.000
```

ΔE_f: -16.0 kJ/mol of atoms
SG: P4/mmm (123)
crystal system: tetragonal

No. 7
This record from Alexandria via LeMat-Bulk describes a geometry-optimized Pt2RhCl structure. The functional is GGA-PBE.

extended XYZ file:
```
4
Lattice="0.000 3.173 3.173 3.173 0.000 3.173 3.173 3.173 0.000" Properties=species:S:1:pos:R:3 pbc="T T T"
Pt 4.759 4.759 4.759
Pt 1.586 1.586 1.586
Cl 0.000 0.000 0.000
Rh 3.173 3.173 3.173
```

distance to the lowest polymorph of the same formula: 474.2 meV/atom
SG: Fm-3m (225)
crystal system: cubic
uncorrected formation energy: 0.674 eV/atom

No. 8
This record from Alexandria via LeMat-Bulk describes a geometry-optimized GdTl2Cd structure. The functional is GGA-PBE.

extended XYZ file:
```
4
Lattice="-4.258 -3.182 0.140 -2.008 -1.551 4.673 -4.687 1.901 1.643" Properties=species:S:1:pos:R:3 pbc="T T T"
Cd -5.476 -1.416 3.228
Tl -8.214 -2.124 4.842
Tl -2.738 -0.708 1.614
Gd 0.000 0.000 0.000
```

ΔE_f: -16.8 kJ/mol of atoms
distance to the lowest polymorph of the same formula: 92.6 meV/atom
SG: Fm-3m (225)
crystal system: cubic

Number 1: total magnetic moment 0.0 Bohr magnetons per cell. Number 2: total magnetic moment 0.0 Bohr magnetons per cell. Number 3: total magnetic moment 0.0 Bohr magnetons per cell. Number 4: total magnetic moment 0.0 Bohr magnetons per cell. Number 5: total magnetic moment 0.0 Bohr magnetons per cell. Number 6: total magnetic moment 0.2 Bohr magnetons per cell. Number 7: total magnetic moment 0.0 Bohr magnetons per cell. Number 8: total magnetic moment 6.9 Bohr magnetons per cell.